Material: Pm2TiPdO6
Method: DFT, GGA-PBE
State: optimized geometry

Computed properties:
Calculated volume ... 142 Å³/cell
Calculated total energy ... -76.99 eV per cell
Total magnetic moment ... 0.083 μB/atom
Formation energy without anion corrections ... -2.465 eV per atom

Cell lengths 5.478, 5.478, 4.727 Å; angles 90.00, 90.00, 90.00 degrees
Atoms (fractional coordinates):
Pm (0.000, 0.500, 0.000)
Pm (0.500, 0.000, 0.000)
Ti (0.000, 0.000, 0.579)
Pd (0.500, 0.500, 0.624)
O (0.000, 0.000, 0.195)
O (0.233, 0.233, 0.715)
O (0.233, 0.767, 0.715)
O (0.500, 0.500, 0.138)
O (0.767, 0.233, 0.715)
O (0.767, 0.767, 0.715)